! RbCa3V4O12 GGA+U relaxed; values from VASP
! space group	No. 155
! energy	-6.918	eV per atom
&SYSTEM
  ibrav = 0, nat = 20, ntyp = 4
/
ATOMIC_SPECIES
Rb 85.47 Rb.upf
Ca 40.08 Ca.upf
V 50.94 V.upf
O 16.00 O.upf
ATOMIC_POSITIONS angstrom
Rb 0.000 0.000 0.000
Ca -3.445 -1.095 2.382
Ca 2.670 -2.436 2.382
Ca 0.774 3.530 2.382
V -2.602 -4.506 3.573
V 0.000 0.000 3.573
V -2.602 4.506 3.573
V 5.203 0.000 3.573
O -5.273 0.000 3.573
O -3.220 -2.828 3.784
O -0.839 -4.203 3.361
O -3.220 2.828 3.361
O -1.731 0.000 3.573
O 2.637 -4.567 3.573
O 0.865 -1.499 3.573
O 0.865 1.499 3.573
O -0.839 4.203 3.784
O 4.059 -1.375 3.784
O 4.059 1.375 3.361
O 2.637 4.567 3.573
CELL_PARAMETERS angstrom
6.115 3.530 2.382
-6.115 3.530 2.382
0.000 -7.061 2.382